Material: TbPr2PuP4
Method: DFT, PBE
State: optimized geometry

As for the energy of formation from the pure elements: -1.43 eV/atom. The value obtained for the total magnetization is 4.9 μB/f.u. The value obtained for the density of states at the Fermi level is 12.48 states/eV per cell. Its total DFT energy (no corrections) is -61.6 eV/cell.

It has space group P2/m (No. 10), with a = 7.096 Å, b = 4.111 Å, c = 7.108 Å, α = 90.00°, β = 109.46° and γ = 90.00°. Symmetry generates all atoms from Tb at (0.000, 0.000, 0.000), Pr at (0.000, 0.500, 0.500), Pr at (0.500, 0.000, 0.500), Pu at (0.500, 0.500, 0.000), P at (0.249, 0.500, 0.237) and P at (0.258, 0.000, 0.766).

***

Material: Tb2PrPuP4
Method: DFT, PBE
State: optimized geometry

As for the energy of formation from the pure elements: -1.45 eV/atom. The value obtained for the total magnetization is 4.9 μB/f.u. The value obtained for the density of states at the Fermi level is 12.28 states/eV per cell. Its total DFT energy (no corrections) is -61.6 eV/cell.

It has space group P2/m (No. 10), with a = 7.027 Å, b = 4.072 Å, c = 7.037 Å, α = 90.00°, β = 109.50° and γ = 90.00°. Symmetry generates all atoms from Tb at (0.000, 0.000, 0.000), Tb at (0.000, 0.500, 0.500), Pr at (0.500, 0.000, 0.500), Pu at (0.500, 0.500, 0.000), P at (0.245, 0.500, 0.241) and P at (0.251, 0.000, 0.758).